## Zr3Ti2Rh3 (PBE)

Data for crystalline Zr3Ti2Rh3 at its relaxed geometry.

Lattice parameters (Å, degrees): 3.320 4.566 9.755 103.53 99.80 90.00
Atoms (fractional coordinates):
Zr: 0.625 0.625 0.250
Zr: 0.375 0.375 0.750
Zr: 0.500 0.000 0.000
Ti: 0.742 0.242 0.484
Ti: 0.258 0.758 0.516
Rh: 0.127 0.127 0.254
Rh: 0.000 0.500 0.000
Rh: 0.873 0.873 0.746

Results
Calculated volume (Å³/cell): 142
ΔE_f (kcal/mol of atoms): -13.5


## Be2NiW (PBE)

Data for crystalline Be2NiW at its relaxed geometry.

Lattice parameters (Å, degrees): 2.685 2.680 6.468 65.56 90.00 90.00
Atoms (fractional coordinates):
Ni: 0.500 0.250 0.250
W: 0.500 0.750 0.750
Be: 0.000 0.954 0.045
Be: 0.000 0.546 0.455

Results
Calculated volume (Å³/cell): 42
E above lowest polymorph (meV/atom): 0
ΔE_f (kcal/mol of atoms): -4.0


## Tc2OsCl (PBE)

Data for crystalline Tc2OsCl at its relaxed geometry.

Lattice parameters (Å, degrees): 5.165 5.165 5.165 147.52 128.71 62.03
Atoms (fractional coordinates):
Cl: 0.750 0.250 0.500
Os: 0.250 0.750 0.500
Tc: 0.979 0.979 0.000
Tc: 0.521 0.521 0.000

Results
Calculated volume (Å³/cell): 57
Formation energy from raw total energies (kcal/mol of atoms): 18.88
E above lowest polymorph (meV/atom): 532


## Zr2ScAl (PBE)

Data for crystalline Zr2ScAl at its relaxed geometry.

Lattice parameters (Å, degrees): 10.245 10.245 10.245 17.81 17.81 17.81
Atoms (fractional coordinates):
Sc: 0.753 0.753 0.753
Al: 0.500 0.500 0.500
Zr: 0.001 0.001 0.001
Zr: 0.246 0.246 0.246

Results
Calculated volume (Å³/cell): 88
ΔE_f (kcal/mol of atoms): -2.2